## Sr2NpGa3Pt4 (PBE)

Data for crystalline Sr2NpGa3Pt4 at its relaxed geometry.

abc: 4.448 4.448 11.028
angles: 90.00 90.00 90.00
Atoms (fractional coordinates):
Sr1 0.000 0.500 0.228
Sr2 0.500 0.000 0.772
Np1 0.000 0.000 0.500
Ga1 0.000 0.500 0.884
Ga2 0.500 0.000 0.116
Ga3 0.500 0.500 0.500
Pt1 0.000 0.000 0.000
Pt2 0.000 0.500 0.652
Pt3 0.500 0.000 0.348
Pt4 0.500 0.500 0.000

Computed properties:
DFT total energy: -56.92 eV per formula unit
Energy relative to the elements: -7.372 eV/f.u.
Mass density: 10.7 g/cm3
Space group: P-4m2 (115)
V: 218.2 Å³ per cell